--- a ---
# Y2ZnTe, relaxed, DFT PBE-GGA
# M_tot	0.0	Bohr magnetons per cell
data_Y2ZnTe
_chemical_formula_sum 'Y2 Zn1 Te1'
_cell_length_a 5.277
_cell_length_b 5.277
_cell_length_c 3.696
_cell_angle_alpha 89.98
_cell_angle_beta 89.98
_cell_angle_gamma 100.59
_space_group_name_H-M_alt 'P 1'
_space_group_IT_number 1
loop_
_space_group_symop_operation_xyz
'x,y,z'
loop_
_atom_site_label
_atom_site_fract_x
_atom_site_fract_y
_atom_site_fract_z
_atom_site_occupancy
Zn1 0.500 0.000 0.500 1
Y1 0.500 0.500 0.000 1
Te1 0.000 0.500 0.500 1
Y2 0.000 0.000 0.000 1

***

--- b ---
# Y2ZnTe, relaxed, DFT PBE-GGA
# M_tot	0.0	Bohr magnetons per cell
data_Y2ZnTe
_chemical_formula_sum 'Y2 Zn1 Te1'
_cell_length_a 6.081
_cell_length_b 6.081
_cell_length_c 4.258
_cell_angle_alpha 90.00
_cell_angle_beta 90.00
_cell_angle_gamma 40.75
_space_group_name_H-M_alt 'P 1'
_space_group_IT_number 1
loop_
_space_group_symop_operation_xyz
'x,y,z'
loop_
_atom_site_label
_atom_site_fract_x
_atom_site_fract_y
_atom_site_fract_z
_atom_site_occupancy
Y1 0.010 0.010 0.125 1
Te1 0.289 0.289 0.125 1
Zn1 0.475 0.475 0.625 1
Y2 0.726 0.726 0.625 1

***

How far above the most stable structure does each one sit? In kJ/mol of atoms: a 12.1; b 0.0.

***

--- a ---
# YZnTe, relaxed, DFT PBE-GGA
# M_tot	0.6	Bohr magnetons per cell
data_YZnTe
_chemical_formula_sum 'Y1 Zn1 Te1'
_cell_length_a 5.714
_cell_length_b 5.714
_cell_length_c 3.855
_cell_angle_alpha 70.30
_cell_angle_beta 70.28
_cell_angle_gamma 39.42
_space_group_name_H-M_alt 'P 1'
_space_group_IT_number 1
loop_
_space_group_symop_operation_xyz
'x,y,z'
loop_
_atom_site_label
_atom_site_fract_x
_atom_site_fract_y
_atom_site_fract_z
_atom_site_occupancy
Te1 0.001 0.001 0.999 1
Y1 0.330 0.330 0.670 1
Zn1 0.669 0.669 0.331 1

***

--- b ---
# YZnTe, relaxed, DFT PBE-GGA
# M_tot	0.0	Bohr magnetons per cell
data_YZnTe
_chemical_formula_sum 'Y2 Zn2 Te2'
_cell_length_a 4.594
_cell_length_b 4.595
_cell_length_c 11.740
_cell_angle_alpha 60.48
_cell_angle_beta 78.72
_cell_angle_gamma 60.01
_space_group_name_H-M_alt 'P 1'
_space_group_IT_number 1
loop_
_space_group_symop_operation_xyz
'x,y,z'
loop_
_atom_site_label
_atom_site_fract_x
_atom_site_fract_y
_atom_site_fract_z
_atom_site_occupancy
Zn1 0.669 0.149 0.513 1
Te1 0.280 0.253 0.188 1
Y1 0.030 0.268 0.673 1
Zn2 0.331 0.851 0.487 1
Te2 0.720 0.747 0.812 1
Y2 0.970 0.732 0.327 1

***

--- c ---
# YZnTe, relaxed, DFT PBE-GGA
# M_tot	0.0	Bohr magnetons per cell
data_YZnTe
_chemical_formula_sum 'Y1 Zn1 Te1'
_cell_length_a 4.890
_cell_length_b 4.890
_cell_length_c 4.890
_cell_angle_alpha 60.00
_cell_angle_beta 60.00
_cell_angle_gamma 60.00
_space_group_name_H-M_alt 'P 1'
_space_group_IT_number 1
loop_
_space_group_symop_operation_xyz
'x,y,z'
loop_
_atom_site_label
_atom_site_fract_x
_atom_site_fract_y
_atom_site_fract_z
_atom_site_occupancy
Zn1 0.250 0.250 0.250 1
Te1 0.000 0.000 0.000 1
Y1 0.500 0.500 0.500 1

***

How far above the most stable structure does each one sit? In kJ/mol of atoms: a 25.4; b 0.0; c 53.0.

***

--- a ---
# Y4ZnTe, relaxed, DFT PBE-GGA
# M_tot	0.0	Bohr magnetons per cell
data_Y4ZnTe
_chemical_formula_sum 'Y8 Zn2 Te2'
_cell_length_a 5.869
_cell_length_b 7.635
_cell_length_c 8.592
_cell_angle_alpha 90.00
_cell_angle_beta 90.00
_cell_angle_gamma 103.94
_space_group_name_H-M_alt 'P 1'
_space_group_IT_number 1
loop_
_space_group_symop_operation_xyz
'x,y,z'
loop_
_atom_site_label
_atom_site_fract_x
_atom_site_fract_y
_atom_site_fract_z
_atom_site_occupancy
Y1 0.582 0.499 0.750 1
Y2 0.018 0.739 0.447 1
Y3 0.982 0.261 0.947 1
Y4 0.573 0.000 0.250 1
Y5 0.018 0.739 0.053 1
Y6 0.982 0.261 0.553 1
Zn1 0.865 0.415 0.250 1
Te1 0.896 0.911 0.750 1
Y7 0.427 0.000 0.750 1
Te2 0.104 0.089 0.250 1
Y8 0.418 0.501 0.250 1
Zn2 0.135 0.585 0.750 1

***

--- b ---
# Y4ZnTe, relaxed, DFT PBE-GGA
# M_tot	0.0	Bohr magnetons per cell
data_Y4ZnTe
_chemical_formula_sum 'Y16 Zn4 Te4'
_cell_length_a 3.958
_cell_length_b 8.429
_cell_length_c 19.750
_cell_angle_alpha 90.00
_cell_angle_beta 90.00
_cell_angle_gamma 90.00
_space_group_name_H-M_alt 'P 1'
_space_group_IT_number 1
loop_
_space_group_symop_operation_xyz
'x,y,z'
loop_
_atom_site_label
_atom_site_fract_x
_atom_site_fract_y
_atom_site_fract_z
_atom_site_occupancy
Y1 0.750 0.875 0.440 1
Zn1 0.750 0.744 0.046 1
Y2 0.250 0.625 0.940 1
Y3 0.250 0.016 0.782 1
Y4 0.250 0.020 0.071 1
Y5 0.750 0.980 0.929 1
Y6 0.750 0.375 0.060 1
Te1 0.250 0.282 0.187 1
Y7 0.250 0.516 0.718 1
Y8 0.750 0.480 0.571 1
Y9 0.750 0.838 0.653 1
Y10 0.250 0.125 0.560 1
Y11 0.250 0.162 0.347 1
Te2 0.750 0.218 0.687 1
Te3 0.250 0.782 0.313 1
Zn2 0.750 0.244 0.454 1
Y12 0.750 0.984 0.218 1
Te4 0.750 0.718 0.813 1
Y13 0.750 0.338 0.847 1
Zn3 0.250 0.256 0.954 1
Y14 0.750 0.484 0.282 1
Y15 0.250 0.520 0.429 1
Y16 0.250 0.662 0.153 1
Zn4 0.250 0.756 0.546 1

***

How far above the most stable structure does each one sit? In kJ/mol of atoms: a 21.7; b 0.0.